# 1
PaBe2Si2Mo | PBE | relaxed

Results
Volume in Å³ per atom: 14.56
Formation energy (no corrections) in eV per atom: -0.333
Calculated total energy in eV/atom: -6.77
Symmetry: P-3m1 (164)

abc: 3.7551 3.7551 7.1520
angles: 90.00 90.00 120.00
Sites, in units of the cell vectors:
Pa (0.0000, 0.0000, 0.0000)
Be (0.3333, 0.6667, 0.2899)
Be (0.6667, 0.3333, 0.7101)
Si (0.3333, 0.6667, 0.7222)
Si (0.6667, 0.3333, 0.2778)
Mo (0.0000, 0.0000, 0.5000)

# 2
Fe5GePt6 | PBE | relaxed

Results
Energy of formation in eV/atom: -0.259
Volume in Å³ per atom: 14.29
Calculated total energy in eV/atom: -7.19
Symmetry: Immm (71)

abc: 7.2299 7.2299 7.2299
angles: 148.70 117.62 71.46
Sites, in units of the cell vectors:
Fe (0.0000, 0.0000, 0.0000)
Fe (0.1633, 0.6633, 0.5000)
Fe (0.3187, 0.3187, 0.0000)
Fe (0.6813, 0.6813, 0.0000)
Fe (0.8367, 0.3367, 0.5000)
Ge (0.5000, 0.0000, 0.5000)
Pt (0.0863, 0.8328, 0.2535)
Pt (0.2540, 0.5000, 0.7540)
Pt (0.4208, 0.1672, 0.2535)
Pt (0.5792, 0.8328, 0.7465)
Pt (0.7460, 0.5000, 0.2460)
Pt (0.9137, 0.1672, 0.7465)

# 3
InHIr2Rh | PBE | relaxed

Results
Volume in Å³ per atom: 13.06
Calculated total energy in eV/atom: -6.22
Symmetry: P4/mmm (123)

abc: 4.0066 4.0066 4.0679
angles: 90.00 90.00 90.00
Sites, in units of the cell vectors:
In (0.0000, 0.0000, 0.0000)
H (0.5000, 0.5000, 0.5000)
Ir (0.0000, 0.5000, 0.5000)
Ir (0.5000, 0.0000, 0.5000)
Rh (0.5000, 0.5000, 0.0000)

# 4
PuH6Pt3 | PBE | relaxed

Results
Volume in Å³ per atom: 9.86
Calculated total energy in eV/atom: -5.45
Symmetry: C2/m (12)

abc: 4.8333 4.8333 5.6124
angles: 115.53 115.53 60.12
Sites, in units of the cell vectors:
Pu (0.0000, 0.0000, 0.0000)
H (0.1056, 0.5528, 0.2106)
H (0.4472, 0.8944, 0.7894)
H (0.4484, 0.4484, 0.7913)
H (0.5516, 0.5516, 0.2087)
H (0.5528, 0.1056, 0.2106)
H (0.8944, 0.4472, 0.7894)
Pt (0.2152, 0.2152, 0.6449)
Pt (0.5000, 0.5000, 0.5000)
Pt (0.7848, 0.7848, 0.3551)

# 5
RbAcPt2O8 | PBE | relaxed

Results
Volume in Å³ per atom: 20.19
Formation energy (no corrections) in eV per atom: -0.688
Calculated total energy in eV/atom: -5.42
Symmetry: P-3 (147)

abc: 6.0071 6.0071 7.7543
angles: 90.00 90.00 120.00
Sites, in units of the cell vectors:
Rb (0.0000, 0.0000, 0.0000)
Ac (0.0000, 0.0000, 0.5000)
Pt (0.3333, 0.6667, 0.4611)
Pt (0.6667, 0.3333, 0.5389)
O (0.0694, 0.4072, 0.6211)
O (0.3333, 0.6667, 0.2234)
O (0.3379, 0.9306, 0.6211)
O (0.4072, 0.3379, 0.3789)
O (0.5928, 0.6621, 0.6211)
O (0.6621, 0.0694, 0.3789)
O (0.6667, 0.3333, 0.7766)
O (0.9306, 0.5928, 0.3789)

# 6
PmMg4Cd8 | PBE | relaxed

Results
Energy of formation in eV/atom: -0.176
Volume in Å³ per atom: 22.60
Calculated total energy in eV/atom: -1.59
Symmetry: I4/mmm (139)

abc: 7.5972 7.5972 7.5972
angles: 99.12 99.12 133.09
Sites, in units of the cell vectors:
Pm (0.0000, 0.0000, 0.0000)
Mg (0.0000, 0.0000, 0.5000)
Mg (0.0000, 0.5000, 0.0000)
Mg (0.5000, 0.0000, 0.0000)
Mg (0.5000, 0.5000, 0.5000)
Cd (0.0000, 0.3465, 0.3465)
Cd (0.0000, 0.6535, 0.6535)
Cd (0.2845, 0.5000, 0.7845)
Cd (0.3465, 0.0000, 0.3465)
Cd (0.5000, 0.2845, 0.7845)
Cd (0.5000, 0.7155, 0.2155)
Cd (0.6535, 0.0000, 0.6535)
Cd (0.7155, 0.5000, 0.2155)

# 7
KNd2ReO8 | PBE | relaxed

Results
Volume in Å³ per atom: 13.48
Formation energy (no corrections) in eV per atom: -2.192
Calculated total energy in eV/atom: -7.42
Symmetry: P-1 (2)

abc: 4.3001 5.3559 7.3026
angles: 90.16 105.83 90.81
Sites, in units of the cell vectors:
K (0.0000, 0.0000, 0.0000)
Nd (0.3803, 0.4931, 0.7111)
Nd (0.6197, 0.5069, 0.2889)
Re (0.0000, 0.0000, 0.5000)
O (0.1722, 0.5029, 0.9982)
O (0.1878, 0.7154, 0.4075)
O (0.2003, 0.2394, 0.3804)
O (0.3394, 0.0233, 0.7267)
O (0.6606, 0.9767, 0.2733)
O (0.7997, 0.7606, 0.6196)
O (0.8122, 0.2846, 0.5925)
O (0.8278, 0.4971, 0.0018)

# 8
Cs3UBr8 | PBE | relaxed

Results
E above lowest polymorph in eV per atom: 0.081
Volume in Å³ per atom: 43.25
Formation energy (no corrections) in eV per atom: -1.424
Calculated total energy in eV/atom: -3.69
Symmetry: I4/mmm (139)

abc: 9.7652 9.7652 9.7652
angles: 130.99 130.99 71.84
Sites, in units of the cell vectors:
Cs (0.0000, 0.0000, 0.0000)
Cs (0.2500, 0.7500, 0.5000)
Cs (0.7500, 0.2500, 0.5000)
U (0.5000, 0.5000, 0.0000)
Br (0.1859, 0.1859, 0.5842)
Br (0.1859, 0.6016, 0.0000)
Br (0.3984, 0.3984, 0.5842)
Br (0.3984, 0.8141, 0.0000)
Br (0.6016, 0.1859, 0.0000)
Br (0.6016, 0.6016, 0.4158)
Br (0.8141, 0.3984, 0.0000)
Br (0.8141, 0.8141, 0.4158)

# 9
Tb3PrSm4Te8 | PBE | relaxed

Results
Volume in Å³ per atom: 30.73
Formation energy (no corrections) in eV per atom: -1.357
Calculated total energy in eV/atom: -5.27
Symmetry: R-3m (166)

abc: 8.8618 8.8618 8.8618
angles: 59.96 59.96 59.96
Sites, in units of the cell vectors:
Tb (0.0000, 0.5000, 0.5000)
Tb (0.5000, 0.0000, 0.5000)
Tb (0.5000, 0.5000, 0.0000)
Pr (0.0000, 0.0000, 0.0000)
Sm (0.0000, 0.0000, 0.5000)
Sm (0.0000, 0.5000, 0.0000)
Sm (0.5000, 0.0000, 0.0000)
Sm (0.5000, 0.5000, 0.5000)
Te (0.2521, 0.2521, 0.2521)
Te (0.2523, 0.2523, 0.7435)
Te (0.2523, 0.7435, 0.2523)
Te (0.2565, 0.7477, 0.7477)
Te (0.7435, 0.2523, 0.2523)
Te (0.7477, 0.2565, 0.7477)
Te (0.7477, 0.7477, 0.2565)
Te (0.7479, 0.7479, 0.7479)

# 10
MgScS | PBE | relaxed

Results
Volume in Å³ per atom: 21.87
Formation energy (no corrections) in eV per atom: -0.839
Calculated total energy in eV/atom: -4.86
Symmetry: R-3m (166)

abc: 7.6175 7.6175 7.6175
angles: 35.20 35.20 35.20
Sites, in units of the cell vectors:
Mg (0.1680, 0.1680, 0.1680)
Mg (0.8320, 0.8320, 0.8320)
Sc (0.4070, 0.4070, 0.4070)
Sc (0.5930, 0.5930, 0.5930)
S (0.2843, 0.2843, 0.2843)
S (0.7157, 0.7157, 0.7157)

# 11
BeAlSe2 | PBE | relaxed

Results
E above lowest polymorph in eV per atom: 0.387
Volume in Å³ per atom: 22.31
Formation energy (no corrections) in eV per atom: -0.021
Calculated total energy in eV/atom: -3.63
Symmetry: I-4m2 (119)

abc: 3.4971 3.4971 14.5970
angles: 90.00 90.00 90.00
Sites, in units of the cell vectors:
Be (0.0000, 0.0000, 0.0000)
Be (0.5000, 0.5000, 0.5000)
Al (0.0000, 0.5000, 0.2500)
Al (0.5000, 0.0000, 0.7500)
Se (0.0000, 0.0000, 0.5000)
Se (0.0000, 0.5000, 0.7500)
Se (0.5000, 0.0000, 0.2500)
Se (0.5000, 0.5000, 0.0000)

# 12
Tb6Pr3Tm2Pu | PBE | relaxed

Results
Energy of formation in eV/atom: 0.048
Volume in Å³ per atom: 32.19
Calculated total energy in eV/atom: -5.40
Symmetry: C2/m (12)

abc: 6.1955 6.1955 11.8068
angles: 95.03 95.03 120.02
Sites, in units of the cell vectors:
Tb (0.0809, 0.4101, 0.2426)
Tb (0.2485, 0.2485, 0.7572)
Tb (0.4101, 0.0809, 0.2426)
Tb (0.5899, 0.9191, 0.7574)
Tb (0.7515, 0.7515, 0.2428)
Tb (0.9191, 0.5899, 0.7574)
Pr (0.1670, 0.8330, 0.5000)
Pr (0.5000, 0.5000, 0.5000)
Pr (0.8330, 0.1670, 0.5000)
Tm (0.3334, 0.6666, 0.0000)
Tm (0.6666, 0.3334, 0.0000)
Pu (0.0000, 0.0000, 0.0000)

# 13
PrPuMgGa | PBE | relaxed

Results
Energy of formation in eV/atom: -0.131
Volume in Å³ per atom: 26.13
Calculated total energy in eV/atom: -6.06
Symmetry: F-43m (216)

abc: 7.4778 7.4778 7.4778
angles: 90.00 90.00 90.00
Sites, in units of the cell vectors:
Pr (0.0000, 0.0000, 0.0000)
Pr (0.0000, 0.5000, 0.5000)
Pr (0.5000, 0.0000, 0.5000)
Pr (0.5000, 0.5000, 0.0000)
Pu (0.0000, 0.0000, 0.5000)
Pu (0.0000, 0.5000, 0.0000)
Pu (0.5000, 0.0000, 0.0000)
Pu (0.5000, 0.5000, 0.5000)
Mg (0.2500, 0.2500, 0.7500)
Mg (0.2500, 0.7500, 0.2500)
Mg (0.7500, 0.2500, 0.2500)
Mg (0.7500, 0.7500, 0.7500)
Ga (0.2500, 0.2500, 0.2500)
Ga (0.2500, 0.7500, 0.7500)
Ga (0.7500, 0.2500, 0.7500)
Ga (0.7500, 0.7500, 0.2500)

# 14
La3Pr3Tl | PBE | relaxed

Results
Energy of formation in eV/atom: -0.079
E above lowest polymorph in eV per atom: 0.013
Volume in Å³ per atom: 34.83
Calculated total energy in eV/atom: -4.58
Symmetry: P-1 (2)

abc: 6.4645 6.9035 12.3240
angles: 97.46 94.02 115.42
Sites, in units of the cell vectors:
La (0.0070, 0.3624, 0.1141)
La (0.1399, 0.9273, 0.1676)
La (0.4477, 0.2239, 0.9588)
La (0.5523, 0.7761, 0.0412)
La (0.8601, 0.0727, 0.8324)
La (0.9930, 0.6376, 0.8859)
Pr (0.1914, 0.6800, 0.4121)
Pr (0.2326, 0.9370, 0.6730)
Pr (0.4038, 0.5133, 0.7234)
Pr (0.5962, 0.4867, 0.2766)
Pr (0.7674, 0.0630, 0.3270)
Pr (0.8086, 0.3200, 0.5879)
Tl (0.2806, 0.2192, 0.4615)
Tl (0.7194, 0.7808, 0.5385)

# 15
Cs3B2Se8 | PBE | relaxed

Results
Volume in Å³ per atom: 33.89
Formation energy (no corrections) in eV per atom: -0.385
Calculated total energy in eV/atom: -3.75
Symmetry: R-3m (166)

abc: 15.0490 15.0490 15.0490
angles: 22.57 22.57 22.57
Sites, in units of the cell vectors:
Cs (0.0000, 0.0000, 0.0000)
Cs (0.2690, 0.2690, 0.2690)
Cs (0.7310, 0.7310, 0.7310)
B (0.4189, 0.4189, 0.4189)
B (0.5811, 0.5811, 0.5811)
Se (0.2245, 0.7153, 0.7153)
Se (0.2847, 0.2847, 0.7755)
Se (0.2847, 0.7755, 0.2847)
Se (0.3736, 0.3736, 0.3736)
Se (0.6264, 0.6264, 0.6264)
Se (0.7153, 0.2245, 0.7153)
Se (0.7153, 0.7153, 0.2245)
Se (0.7755, 0.2847, 0.2847)

# 16
CrCu2HPd | PBE | relaxed

Results
Volume in Å³ per atom: 11.31
Calculated total energy in eV/atom: -5.19
Symmetry: P4/mmm (123)

abc: 3.8519 3.8519 3.8097
angles: 90.00 90.00 90.00
Sites, in units of the cell vectors:
Cr (0.0000, 0.0000, 0.0000)
Cu (0.0000, 0.5000, 0.5000)
Cu (0.5000, 0.0000, 0.5000)
H (0.0000, 0.0000, 0.5000)
Pd (0.5000, 0.5000, 0.0000)

# 17
AsPt3Br | PBE | relaxed

Results
E above lowest polymorph in eV per atom: 0.000
Volume in Å³ per atom: 21.49
Formation energy (no corrections) in eV per atom: 0.664
Calculated total energy in eV/atom: -4.23
Symmetry: Pm-3m (221)

abc: 4.7541 4.7541 4.7541
angles: 90.00 90.00 90.00
Sites, in units of the cell vectors:
As (0.0000, 0.0000, 0.0000)
Pt (0.0000, 0.0000, 0.5000)
Pt (0.0000, 0.5000, 0.0000)
Pt (0.5000, 0.0000, 0.0000)
Br (0.5000, 0.5000, 0.5000)

# 18
Ca2YAu | PBE | relaxed

Results
Energy of formation in eV/atom: -0.161
E above lowest polymorph in eV per atom: 0.244
Volume in Å³ per atom: 28.42
Calculated total energy in eV/atom: -3.60
Symmetry: I4/mmm (139)

abc: 4.5815 4.5815 10.8331
angles: 90.00 90.00 90.00
Sites, in units of the cell vectors:
Ca (0.0000, 0.5000, 0.2500)
Ca (0.0000, 0.5000, 0.7500)
Ca (0.5000, 0.0000, 0.2500)
Ca (0.5000, 0.0000, 0.7500)
Y (0.0000, 0.0000, 0.0000)
Y (0.5000, 0.5000, 0.5000)
Au (0.0000, 0.0000, 0.5000)
Au (0.5000, 0.5000, 0.0000)

# 19
TaGaIrRu | PBE | relaxed

Results
Energy of formation in eV/atom: -0.539
Volume in Å³ per atom: 15.20
Calculated total energy in eV/atom: -8.79
Symmetry: I-4m2 (119)

abc: 4.1728 4.1728 6.9841
angles: 90.00 90.00 90.00
Sites, in units of the cell vectors:
Ta (0.0000, 0.0000, 0.0000)
Ta (0.5000, 0.5000, 0.5000)
Ga (0.0000, 0.0000, 0.5000)
Ga (0.5000, 0.5000, 0.0000)
Ir (0.0000, 0.5000, 0.7500)
Ir (0.5000, 0.0000, 0.2500)
Ru (0.0000, 0.5000, 0.2500)
Ru (0.5000, 0.0000, 0.7500)

# 20
LiBiO2 | PBE | relaxed

Results
Volume in Å³ per atom: 17.68
Formation energy (no corrections) in eV per atom: -1.453
Calculated total energy in eV/atom: -5.38
Symmetry: C2/c (15)

abc: 7.1476 9.3245 5.5245
angles: 90.00 129.79 90.00
Sites, in units of the cell vectors:
Li (0.0000, 0.0387, 0.2500)
Li (0.0000, 0.9613, 0.7500)
Li (0.5000, 0.4613, 0.7500)
Li (0.5000, 0.5387, 0.2500)
Bi (0.0000, 0.3946, 0.7500)
Bi (0.0000, 0.6054, 0.2500)
Bi (0.5000, 0.1054, 0.2500)
Bi (0.5000, 0.8946, 0.7500)
O (0.2412, 0.4612, 0.2687)
O (0.2412, 0.5388, 0.7687)
O (0.2588, 0.0388, 0.7313)
O (0.2588, 0.9612, 0.2313)
O (0.7412, 0.0388, 0.7687)
O (0.7412, 0.9612, 0.2687)
O (0.7588, 0.4612, 0.2313)
O (0.7588, 0.5388, 0.7313)